[1]
Entry from the Alexandria database: crystalline CeDyZn2 at its relaxed geometry (PBE).

## Properties
Magnetic moment = 1.0 μB/cell
ρ = 7.72 g/cm³
Calculated formation energy = -24 kJ per mole of atoms

The structure in POSCAR format:
```
CeDyZn2
1.0
0.0000 3.5982 3.5982
3.5982 0.0000 3.5982
3.5982 3.5982 0.0000
Ce Dy Zn
1 1 2
direct
0.0000 0.0000 0.0000 Ce
0.5000 0.5000 0.5000 Dy
0.2500 0.2500 0.2500 Zn
0.7500 0.7500 0.7500 Zn
```

---

[2]
Entry from the Alexandria database: crystalline CeDy2Zn4 at its relaxed geometry (PBE).

## Properties
Magnetic moment = 0.7 μB/cell
ρ = 7.17 g/cm³
Calculated formation energy = -9 kJ per mole of atoms

The structure in POSCAR format:
```
CeDy2Zn4
1.0
-2.5976 2.5976 6.2330
2.5976 -2.5976 6.2330
2.5976 2.5976 -6.2330
Ce Dy Zn
1 2 4
direct
0.0000 0.0000 0.0000 Ce
0.2755 0.2755 0.0000 Dy
0.7245 0.7245 0.0000 Dy
0.1122 0.6122 0.5000 Zn
0.3878 0.8878 0.5000 Zn
0.6122 0.1122 0.5000 Zn
0.8878 0.3878 0.5000 Zn
```

---

[3]
Entry from the Alexandria database: crystalline CeDy3Zn4 at its relaxed geometry (PBE).

## Properties
Magnetic moment = 0.9 μB/cell
ρ = 8.03 g/cm³
Calculated formation energy = -28 kJ per mole of atoms

The structure in POSCAR format:
```
CeDy3Zn4
1.0
2.5349 1.4635 8.2609
-2.5349 1.4635 8.2609
0.0000 -2.9270 8.2609
Ce Dy Zn
1 3 4
direct
0.0000 0.0000 0.0000 Ce
0.2506 0.2506 0.2506 Dy
0.5000 0.5000 0.5000 Dy
0.7494 0.7494 0.7494 Dy
0.1258 0.1258 0.1258 Zn
0.3766 0.3766 0.3766 Zn
0.6234 0.6234 0.6234 Zn
0.8742 0.8742 0.8742 Zn
```

---

[4]
Entry from the Alexandria database: crystalline CeDy5Zn4 at its relaxed geometry (PBE).

## Properties
Magnetic moment = 0.7 μB/cell
ρ = 8.32 g/cm³
Calculated formation energy = -24 kJ per mole of atoms

The structure in POSCAR format:
```
CeDy5Zn4
1.0
3.5544 0.0000 0.0000
0.0000 3.5544 0.0000
0.0000 0.0000 19.1860
Ce Dy Zn
1 5 4
direct
0.0000 0.0000 0.0000 Ce
0.5000 0.5000 0.1284 Dy
0.5000 0.5000 0.3143 Dy
0.5000 0.5000 0.5000 Dy
0.5000 0.5000 0.6857 Dy
0.5000 0.5000 0.8716 Dy
0.0000 0.0000 0.2202 Zn
0.0000 0.0000 0.4063 Zn
0.0000 0.0000 0.5937 Zn
0.0000 0.0000 0.7798 Zn
```

---

[5]
Entry from the Alexandria database: crystalline Ce2DyZr at its relaxed geometry (PBE).

## Properties
Magnetic moment = 0.3 μB/cell
ρ = 8.07 g/cm³
Calculated formation energy = 13 kJ per mole of atoms

The structure in POSCAR format:
```
Ce2DyZr
1.0
4.6840 0.0000 0.0000
0.0000 4.6840 0.0000
0.0000 0.0000 5.0060
Ce Dy Zr
2 1 1
direct
0.0000 0.5000 0.0000 Ce
0.5000 0.0000 0.0000 Ce
0.0000 0.0000 0.5000 Dy
0.5000 0.5000 0.5000 Zr
```

---

[6]
Entry from the Alexandria database: crystalline CeDy14Zr at its relaxed geometry (PBE).

## Properties
Magnetic moment = 0.8 μB/cell
ρ = 8.47 g/cm³
Calculated formation energy = 5 kJ per mole of atoms

The structure in POSCAR format:
```
CeDy14Zr
1.0
7.0322 0.0000 0.0000
0.0000 7.0322 0.0000
0.0000 0.0000 9.9309
Ce Dy Zr
1 14 1
direct
0.0000 0.0000 0.0000 Ce
0.0000 0.0000 0.5000 Dy
0.0000 0.5000 0.0000 Dy
0.0000 0.5000 0.5000 Dy
0.2539 0.2539 0.2443 Dy
0.2539 0.2539 0.7557 Dy
0.2539 0.7461 0.2443 Dy
0.2539 0.7461 0.7557 Dy
0.5000 0.0000 0.0000 Dy
0.5000 0.0000 0.5000 Dy
0.5000 0.5000 0.5000 Dy
0.7461 0.2539 0.2443 Dy
0.7461 0.2539 0.7557 Dy
0.7461 0.7461 0.2443 Dy
0.7461 0.7461 0.7557 Dy
0.5000 0.5000 0.0000 Zr
```

---

[7]
Entry from the Alexandria database: crystalline Ce2DyZr at its relaxed geometry (PBE).

## Properties
Magnetic moment = 0.0 μB/cell
ρ = 8.06 g/cm³
Calculated formation energy = 11 kJ per mole of atoms

The structure in POSCAR format:
```
Ce2DyZr
1.0
3.2944 0.0000 0.0000
0.0000 3.2944 0.0000
0.0000 0.0000 10.1393
Ce Dy Zr
2 1 1
direct
0.0000 0.0000 0.2372 Ce
0.0000 0.0000 0.7628 Ce
0.5000 0.5000 0.5000 Dy
0.5000 0.5000 0.0000 Zr
```

---

[8]
Entry from the Alexandria database: crystalline Ce2DyZr at its relaxed geometry (PBE).

## Properties
Magnetic moment = 1.4 μB/cell
ρ = 7.89 g/cm³
Calculated formation energy = 25 kJ per mole of atoms

The structure in POSCAR format:
```
Ce2DyZr
1.0
0.0000 3.8309 3.8309
3.8309 0.0000 3.8309
3.8309 3.8309 0.0000
Ce Dy Zr
2 1 1
direct
0.2500 0.2500 0.2500 Ce
0.7500 0.7500 0.7500 Ce
0.0000 0.0000 0.0000 Dy
0.5000 0.5000 0.5000 Zr
```

---

[9]
Entry from the Alexandria database: crystalline Ce2DyZr at its relaxed geometry (PBE).

## Properties
Magnetic moment = 0.0 μB/cell
ρ = 8.18 g/cm³
Calculated formation energy = 27 kJ per mole of atoms

The structure in POSCAR format:
```
Ce2DyZr
1.0
1.6163 0.9332 11.9735
-1.6163 0.9332 11.9735
0.0000 -1.8664 11.9735
Ce Dy Zr
2 1 1
direct
0.0821 0.0821 0.0821 Ce
0.9179 0.9179 0.9179 Ce
0.5000 0.5000 0.5000 Dy
0.0000 0.0000 0.0000 Zr
```

---

[10]
Entry from the Alexandria database: crystalline CeEr at its relaxed geometry (PBE).

## Properties
Magnetic moment = 0.0 μB/cell
ρ = 8.68 g/cm³
Calculated formation energy = 7 kJ per mole of atoms

The structure in POSCAR format:
```
CeEr
1.0
3.4571 0.0000 0.0000
0.0000 4.9149 0.0000
0.0000 0.0000 6.9235
Ce Er
2 2
direct
0.2500 0.2500 0.1125 Ce
0.7500 0.7500 0.8875 Ce
0.2500 0.2500 0.6280 Er
0.7500 0.7500 0.3720 Er
```

---

[11]
Entry from the Alexandria database: crystalline CeEr at its relaxed geometry (PBE).

## Properties
Magnetic moment = 0.8 μB/cell
ρ = 8.21 g/cm³
Calculated formation energy = 20 kJ per mole of atoms

The structure in POSCAR format:
```
CeEr
1.0
3.9610 0.0000 0.0000
0.0000 3.9610 0.0000
0.0000 0.0000 3.9610
Ce Er
1 1
direct
0.0000 0.0000 0.0000 Ce
0.5000 0.5000 0.5000 Er
```

---

[12]
Entry from the Alexandria database: crystalline Ce3Er at its relaxed geometry (PBE).

## Properties
Magnetic moment = 1.1 μB/cell
ρ = 8.61 g/cm³
Calculated formation energy = 10 kJ per mole of atoms

The structure in POSCAR format:
```
Ce3Er
1.0
4.8387 0.0000 0.0000
0.0000 4.8387 0.0000
0.0000 0.0000 4.8387
Ce Er
3 1
direct
0.0000 0.0000 0.5000 Ce
0.0000 0.5000 0.0000 Ce
0.5000 0.0000 0.0000 Ce
0.5000 0.5000 0.5000 Er
```

---

[13]
Entry from the Alexandria database: crystalline CeEr at its relaxed geometry (PBE).

## Properties
Magnetic moment = 0.1 μB/cell
ρ = 8.44 g/cm³
Calculated formation energy = 8 kJ per mole of atoms

The structure in POSCAR format:
```
CeEr
1.0
5.9682 -2.0847 0.0000
5.9682 2.0847 0.0000
-2.5039 0.0000 4.8617
Ce Er
2 2
direct
0.1685 0.1685 0.4180 Ce
0.8315 0.8315 0.5820 Ce
0.3867 0.3867 0.1371 Er
0.6133 0.6133 0.8629 Er
```

---

[14]
Entry from the Alexandria database: crystalline Ce3Er at its relaxed geometry (PBE).

## Properties
Magnetic moment = 0.3 μB/cell
ρ = 8.61 g/cm³
Calculated formation energy = 12 kJ per mole of atoms

The structure in POSCAR format:
```
Ce3Er
1.0
-1.6918 5.6342 2.9712
1.6918 -5.6342 2.9712
1.6918 5.6342 -2.9712
Ce Er
3 1
direct
0.0000 0.0000 0.0000 Ce
0.1139 0.3751 0.7388 Ce
0.6363 0.3751 0.2612 Ce
0.4983 0.9983 0.5000 Er
```

---

[15]
Entry from the Alexandria database: crystalline Ce3Er at its relaxed geometry (PBE).

## Properties
Magnetic moment = 0.0 μB/cell
ρ = 8.72 g/cm³
Calculated formation energy = 9 kJ per mole of atoms

The structure in POSCAR format:
```
Ce3Er
1.0
-2.3935 2.3935 4.8829
2.3935 -2.3935 4.8829
2.3935 2.3935 -4.8829
Ce Er
3 1
direct
0.0000 0.0000 0.0000 Ce
0.2500 0.7500 0.5000 Ce
0.7500 0.2500 0.5000 Ce
0.5000 0.5000 0.0000 Er
```

---

[16]
Entry from the Alexandria database: crystalline Ce3Er at its relaxed geometry (PBE).

## Properties
Magnetic moment = 4.9 μB/cell
ρ = 7.99 g/cm³
Calculated formation energy = 25 kJ per mole of atoms

The structure in POSCAR format:
```
Ce3Er
1.0
0.0000 3.9383 3.9383
3.9383 0.0000 3.9383
3.9383 3.9383 0.0000
Ce Er
3 1
direct
0.0000 0.0000 0.0000 Ce
0.2500 0.2500 0.2500 Ce
0.7500 0.7500 0.7500 Ce
0.5000 0.5000 0.5000 Er
```

---

[17]
Entry from the Alexandria database: crystalline Ce3Er at its relaxed geometry (PBE).

## Properties
Magnetic moment = 0.0 μB/cell
ρ = 8.79 g/cm³
Calculated formation energy = 23 kJ per mole of atoms

The structure in POSCAR format:
```
Ce3Er
1.0
3.3064 0.0000 0.0000
0.0000 4.4070 0.0000
0.0000 0.0000 7.6197
Ce Er
3 1
direct
0.0000 0.0000 0.0000 Ce
0.0000 0.5000 0.2337 Ce
0.5000 0.5000 0.7954 Ce
0.5000 0.0000 0.4870 Er
```

---

[18]
Entry from the Alexandria database: crystalline CeEr7 at its relaxed geometry (PBE).

## Properties
Magnetic moment = 0.7 μB/cell
ρ = 8.95 g/cm³
Calculated formation energy = 4 kJ per mole of atoms

The structure in POSCAR format:
```
CeEr7
1.0
0.0000 4.9545 4.9545
4.9545 0.0000 4.9545
4.9545 4.9545 0.0000
Ce Er
1 7
direct
0.0000 0.0000 0.0000 Ce
0.0000 0.0000 0.5000 Er
0.0000 0.5000 0.0000 Er
0.0000 0.5000 0.5000 Er
0.5000 0.0000 0.0000 Er
0.5000 0.0000 0.5000 Er
0.5000 0.5000 0.0000 Er
0.5000 0.5000 0.5000 Er
```

---

[19]
Entry from the Alexandria database: crystalline Ce6Er at its relaxed geometry (PBE).

## Properties
Magnetic moment = 0.7 μB/cell
ρ = 7.65 g/cm³
Calculated formation energy = 66 kJ per mole of atoms

The structure in POSCAR format:
```
Ce6Er
1.0
-3.7958 3.7958 3.7958
3.7958 -3.7958 3.7958
3.7958 3.7958 -3.7958
Ce Er
6 1
direct
0.2500 0.5000 0.7500 Ce
0.2500 0.7500 0.5000 Ce
0.5000 0.2500 0.7500 Ce
0.5000 0.7500 0.2500 Ce
0.7500 0.2500 0.5000 Ce
0.7500 0.5000 0.2500 Ce
0.0000 0.0000 0.0000 Er
```

---

[20]
Entry from the Alexandria database: crystalline CeEr8 at its relaxed geometry (PBE).

## Properties
Magnetic moment = 1.1 μB/cell
ρ = 8.93 g/cm³
Calculated formation energy = 4 kJ per mole of atoms

The structure in POSCAR format:
```
CeEr8
1.0
-5.2574 5.2574 2.4860
5.2574 -5.2574 2.4860
5.2574 5.2574 -2.4860
Ce Er
1 8
direct
0.0000 0.0000 0.0000 Ce
0.0000 0.3329 0.3329 Er
0.0000 0.6671 0.6671 Er
0.3329 0.0000 0.3329 Er
0.3344 0.3344 0.6687 Er
0.3344 0.6656 0.0000 Er
0.6656 0.3344 0.0000 Er
0.6656 0.6656 0.3313 Er
0.6671 0.0000 0.6671 Er
```